No. 1
Density functional theory data (GGA-PBEsol) for a geometry-optimized CdHg2Cl structure.

* E_form (uncorrected): -218.7 meV per atom
* density of states at the Fermi level: 1.06 states/eV/cell
* final energy: -5.2 eV per cell
* symmetry: Cm, No. 8

```
4
Lattice="3.8136 0.0000 0.0000 1.9068 4.8224 0.0401 1.9068 1.9509 5.5385" Properties=species:S:1:pos:R:3 pbc="T T T"
Cl 5.7204 4.7263 4.0811
Hg 5.7204 4.7263 0.2926
Hg 1.9068 1.8201 1.5161
Cd 3.8136 3.7096 2.5181
```

No. 2
Density functional theory data (GGA-PBEsol) for a geometry-optimized CdHg2Cl structure.

* E_form (uncorrected): -168.2 meV per atom
* density of states at the Fermi level: 1.34 states/eV/cell
* final energy: -5.0 eV per cell
* symmetry: I4/mmm, No. 139

```
4
Lattice="4.1168 0.0000 0.0000 0.0000 4.1168 0.0000 -2.0584 -2.0584 5.5923" Properties=species:S:1:pos:R:3 pbc="T T T"
Cl 0.0000 0.0000 0.0000
Hg 2.0584 0.0000 2.7961
Hg 0.0000 2.0584 2.7961
Cd 2.0584 2.0584 0.0000
```